1.
A relaxed RbBi4Se7 crystal, computed with GGA-PBE.

As for the symmetry: No. 12. Its total magnetic moment is 0.00 μB/f.u. Its formation energy without anion corrections is -49.7 kJ per mole of atoms.

a b c (Å): 12.0043 12.0043 19.8362
angles (deg): 123.25 123.25 20.41
Closest atoms and distances in Å follow each position.
Positions (direct):
1 Rb 0.0337 0.0337 0.3453  6 Se 3.47-3.67
2 Rb 0.9663 0.9663 0.6547  6 Se 3.47-3.67
3 Bi 0.1353 0.1353 0.0624  6 Se 2.87-3.09
4 Bi 0.2008 0.2008 0.7336  6 Se 2.84-3.13
5 Bi 0.2695 0.2695 0.4270  5 Se 2.78-3.02
6 Bi 0.3455 0.3455 0.1137  3 Se 2.81-2.86
7 Bi 0.6545 0.6545 0.8863  3 Se 2.81-2.86
8 Bi 0.7305 0.7305 0.5730  5 Se 2.78-3.02
9 Bi 0.7992 0.7992 0.2664  6 Se 2.84-3.13
10 Bi 0.8647 0.8647 0.9376  6 Se 2.87-3.09
11 Se 0.0695 0.0695 0.8772  3 Bi 2.86-3.09
12 Se 0.1402 0.1402 0.5635  3 Bi 2.84-2.94
13 Se 0.1996 0.1996 0.2348  4 Bi 2.87-3.20
14 Se 0.2676 0.2676 0.9213  6 Bi 3.01-3.18
15 Se 0.3300 0.3300 0.5936  3 Bi 2.78-3.02
16 Se 0.3949 0.3949 0.2795  3 Bi 2.81-3.01
17 Se 0.4506 0.4506 0.9318  1 Se 2.39
18 Se 0.5494 0.5494 0.0682  1 Se 2.39
19 Se 0.6051 0.6051 0.7205  3 Bi 2.81-3.01
20 Se 0.6700 0.6700 0.4064  3 Bi 2.78-3.02
21 Se 0.7324 0.7324 0.0787  6 Bi 3.01-3.18
22 Se 0.8004 0.8004 0.7652  4 Bi 2.87-3.20
23 Se 0.8598 0.8598 0.4365  3 Bi 2.84-2.94
24 Se 0.9305 0.9305 0.1228  3 Bi 2.86-3.09

=====

2.
A relaxed Rb2Bi8Se13 crystal, computed with GGA-PBE.

As for the symmetry: No. 11. Its total magnetic moment is 0.00 μB/f.u. Its formation energy without anion corrections is -51.5 kJ per mole of atoms.

a b c (Å): 13.9283 4.2206 25.2787
angles (deg): 90.00 96.76 90.00
Closest atoms and distances in Å follow each position.
Positions (direct):
1 Rb 0.0753 0.2500 0.1191  7 Se 3.55-3.88
2 Rb 0.2220 0.7500 0.3604  9 Se 3.60-3.92
3 Rb 0.7780 0.2500 0.6396  9 Se 3.60-3.92
4 Rb 0.9247 0.7500 0.8809  7 Se 3.55-3.88
5 Bi 0.0652 0.7500 0.7329  3 Se 2.76-2.81
6 Bi 0.0708 0.2500 0.5639  5 Se 2.73-3.00
7 Bi 0.2246 0.7500 0.9690  4 Se 2.81-3.12
8 Bi 0.3092 0.2500 0.8309  6 Se 2.85-3.15
9 Bi 0.3754 0.7500 0.2114  4 Se 2.80-3.14
10 Bi 0.3834 0.7500 0.6922  5 Se 2.77-3.04
11 Bi 0.4512 0.2500 0.5597  6 Se 2.80-3.13
12 Bi 0.4549 0.2500 0.0701  6 Se 2.93-3.06
13 Bi 0.5451 0.7500 0.9299  6 Se 2.93-3.06
14 Bi 0.5488 0.7500 0.4403  6 Se 2.80-3.13
15 Bi 0.6166 0.2500 0.3078  5 Se 2.77-3.04
16 Bi 0.6246 0.2500 0.7886  4 Se 2.80-3.14
17 Bi 0.6908 0.7500 0.1691  6 Se 2.85-3.15
18 Bi 0.7754 0.2500 0.0310  4 Se 2.81-3.12
19 Bi 0.9292 0.7500 0.4361  5 Se 2.73-3.00
20 Bi 0.9348 0.2500 0.2671  3 Se 2.76-2.81
21 Se 0.0164 0.2500 0.3720  3 Bi 2.76-3.00
22 Se 0.0514 0.7500 0.2381  2 Bi 2.81
23 Se 0.0956 0.2500 0.9803  2 Bi 2.81
24 Se 0.1122 0.7500 0.4881  3 Bi 2.73-2.95
25 Se 0.1776 0.7500 0.8547  3 Bi 2.88-2.90
26 Se 0.2409 0.2500 0.7202  3 Bi 2.85-3.04
27 Se 0.2535 0.2500 0.2330  2 Bi 2.80
28 Se 0.3110 0.7500 0.5853  3 Bi 2.77-3.00
29 Se 0.3166 0.7500 0.0877  4 Bi 2.93-3.14
30 Se 0.3959 0.2500 0.9516  6 Bi 3.01-3.25
31 Se 0.4000 0.2500 0.4493  3 Bi 2.80-2.99
32 Se 0.4629 0.7500 0.8178  6 Bi 2.93-3.24
33 Se 0.4735 0.7500 0.3188  4 Bi 2.89-3.13
34 Se 0.5265 0.2500 0.6812  4 Bi 2.89-3.13
35 Se 0.5371 0.2500 0.1822  6 Bi 2.93-3.24
36 Se 0.6000 0.7500 0.5507  3 Bi 2.80-2.99
37 Se 0.6041 0.7500 0.0484  6 Bi 3.01-3.25
38 Se 0.6834 0.2500 0.9123  4 Bi 2.93-3.14
39 Se 0.6890 0.2500 0.4147  3 Bi 2.77-3.00
40 Se 0.7465 0.7500 0.7670  2 Bi 2.80
41 Se 0.7591 0.7500 0.2798  3 Bi 2.85-3.04
42 Se 0.8224 0.2500 0.1453  3 Bi 2.88-2.90
43 Se 0.8878 0.2500 0.5119  3 Bi 2.73-2.95
44 Se 0.9044 0.7500 0.0197  2 Bi 2.81
45 Se 0.9486 0.2500 0.7619  2 Bi 2.81
46 Se 0.9836 0.7500 0.6280  3 Bi 2.76-3.00

=====

3.
A relaxed Rb3BiSe3 crystal, computed with GGA-PBE.

As for the symmetry: No. 62. Its total magnetic moment is 0.00 μB/f.u. Its formation energy without anion corrections is -90.1 kJ per mole of atoms.

a b c (Å): 13.9174 5.3207 15.1460
angles (deg): 90.00 90.00 90.00
Closest atoms and distances in Å follow each position.
Positions (direct):
1 Rb 0.0636 0.2500 0.1057  6 Se 3.50-3.86
2 Rb 0.1517 0.7500 0.4929  4 Se 3.46-3.83
3 Rb 0.2361 0.7500 0.7928  5 Se 3.46-3.65
4 Rb 0.2639 0.2500 0.2928  5 Se 3.46-3.65
5 Rb 0.3483 0.2500 0.9929  4 Se 3.46-3.83
6 Rb 0.4364 0.7500 0.6057  6 Se 3.50-3.86
7 Rb 0.5636 0.2500 0.3943  6 Se 3.50-3.86
8 Rb 0.6517 0.7500 0.0071  4 Se 3.46-3.83
9 Rb 0.7361 0.7500 0.7072  5 Se 3.46-3.65
10 Rb 0.7639 0.2500 0.2072  5 Se 3.46-3.65
11 Rb 0.8483 0.2500 0.5071  4 Se 3.46-3.83
12 Rb 0.9364 0.7500 0.8943  6 Se 3.50-3.86
13 Bi 0.0584 0.2500 0.7007  4 Se 2.72-2.96
14 Bi 0.4416 0.7500 0.2007  4 Se 2.72-2.96
15 Bi 0.5584 0.2500 0.7993  4 Se 2.72-2.96
16 Bi 0.9416 0.7500 0.2993  4 Se 2.72-2.96
17 Se 0.0211 0.2500 0.3425  2 Bi 2.96
18 Se 0.1035 0.2500 0.8774  1 Bi 2.75
19 Se 0.2367 0.2500 0.6273  1 Bi 2.72
20 Se 0.2633 0.7500 0.1273  1 Bi 2.72
21 Se 0.3965 0.7500 0.3774  1 Bi 2.75
22 Se 0.4789 0.7500 0.8425  2 Bi 2.96
23 Se 0.5211 0.2500 0.1575  2 Bi 2.96
24 Se 0.6035 0.2500 0.6226  1 Bi 2.75
25 Se 0.7367 0.2500 0.8727  1 Bi 2.72
26 Se 0.7633 0.7500 0.3727  1 Bi 2.72
27 Se 0.8965 0.7500 0.1226  1 Bi 2.75
28 Se 0.9789 0.7500 0.6575  2 Bi 2.96

=====

4.
A relaxed Rb2BiSe2 crystal, computed with GGA-PBE.

As for the symmetry: No. 14. Its total magnetic moment is 0.00 μB/f.u. Its formation energy without anion corrections is -74.2 kJ per mole of atoms. The value obtained for the energy above the most stable polymorph in this dataset is 0.0 kJ/mol of atoms.

a b c (Å): 11.3912 8.6712 8.3085
angles (deg): 90.00 99.43 90.00
Closest atoms and distances in Å follow each position.
Positions (direct):
1 Rb 0.0453 0.2363 0.0164  4 Se 3.45-3.57
2 Rb 0.0453 0.2637 0.5164  4 Se 3.45-3.57
3 Rb 0.3388 0.6804 0.9889  6 Se 3.53-3.92
4 Rb 0.3388 0.8196 0.4889  6 Se 3.53-3.92
5 Rb 0.6612 0.1804 0.5111  6 Se 3.53-3.92
6 Rb 0.6612 0.3196 0.0111  6 Se 3.53-3.92
7 Rb 0.9547 0.7363 0.4836  4 Se 3.45-3.57
8 Rb 0.9547 0.7637 0.9836  4 Se 3.45-3.57
9 Bi 0.3434 0.1379 0.8659  2 Se 2.75-2.79
10 Bi 0.3434 0.3621 0.3659  2 Se 2.75-2.79
11 Bi 0.6566 0.6379 0.6341  2 Se 2.75-2.79
12 Bi 0.6566 0.8621 0.1341  2 Se 2.75-2.79
13 Se 0.1464 0.5502 0.2630  1 Bi 2.79
14 Se 0.1464 0.9498 0.7630  1 Bi 2.79
15 Se 0.4272 0.0655 0.1859  1 Bi 2.75
16 Se 0.4272 0.4345 0.6859  1 Bi 2.75
17 Se 0.5728 0.5655 0.3141  1 Bi 2.75
18 Se 0.5728 0.9345 0.8141  1 Bi 2.75
19 Se 0.8536 0.0502 0.2370  1 Bi 2.79
20 Se 0.8536 0.4498 0.7370  1 Bi 2.79